1.
A plane-wave DFT calculation with PBE-GGA was carried out for NaSmTl6 after structural relaxation.

The structure in POSCAR format:
```
NaSmTl6
1.0
4.9132 0.0000 0.0000
0.0000 6.7874 -0.0423
0.0000 0.0440 6.7874
Na Sm Tl
1 1 6
direct
0.5000 0.5000 0.5000 Na
0.5000 0.0000 0.0000 Sm
0.0000 0.7503 0.2497 Tl
0.0000 0.2497 0.7503 Tl
0.0000 0.7507 0.7507 Tl
0.0000 0.2493 0.2493 Tl
0.5000 0.5000 0.0000 Tl
0.5000 0.0000 0.5000 Tl
```

Values from the calculation:
- volume (Å³ per cell) = 226.4
- ΔE_f (eV/atom) = -0.15
- energy above the lowest structure with this stoichiometry (eV/f.u.) = 0.00
- E (hartree per atom) = -0.0983



2.
A plane-wave DFT calculation with PBE-GGA was carried out for NaSmTl4 after structural relaxation.

The structure in POSCAR format:
```
NaSmTl4
1.0
6.3285 0.0000 0.0000
3.1642 5.4806 0.0000
3.1642 1.8269 5.1672
Na Tl Sm
1 4 1
direct
0.2500 0.2500 0.2500 Na
0.6252 0.6252 0.1245 Tl
0.6252 0.1245 0.6252 Tl
0.6252 0.6252 0.6252 Tl
0.1245 0.6252 0.6252 Tl
0.0000 0.0000 0.0000 Sm
```

Values from the calculation:
- volume (Å³ per cell) = 179.2
- ΔE_f (eV/atom) = -0.02
- energy above the lowest structure with this stoichiometry (eV/f.u.) = 0.80
- E (hartree per atom) = -0.0957



3.
A plane-wave DFT calculation with PBE-GGA was carried out for NaSmTl4 after structural relaxation.

The structure in POSCAR format:
```
NaSmTl4
1.0
3.7134 -0.0164 -0.6878
0.0228 5.2293 -0.0017
-1.7270 0.0128 9.3077
Na Sm Tl
1 1 4
direct
0.5673 0.4974 0.0335 Na
0.8931 0.9973 0.4628 Sm
0.1879 0.9974 0.1391 Tl
0.6293 0.9971 0.8035 Tl
0.9556 0.4972 0.6877 Tl
0.2746 0.4973 0.3623 Tl
```

Values from the calculation:
- volume (Å³ per cell) = 174.5
- ΔE_f (eV/atom) = -0.15
- energy above the lowest structure with this stoichiometry (eV/f.u.) = 0.00
- E (hartree per atom) = -0.1006



4.
A plane-wave DFT calculation with PBE-GGA was carried out for NaSmTl after structural relaxation.

The structure in POSCAR format:
```
NaSmTl
1.0
-2.5030 2.8466 -0.5120
-2.1105 -2.2606 -2.2508
-0.9458 -2.2507 6.3974
Na Tl Sm
1 1 1
direct
0.3027 0.3027 0.6053 Na
0.9496 0.9496 0.8992 Tl
0.5977 0.5977 0.1955 Sm
```

Values from the calculation:
- volume (Å³ per cell) = 92.0
- ΔE_f (eV/atom) = -0.02
- energy above the lowest structure with this stoichiometry (eV/f.u.) = 0.45
- E (hartree per atom) = -0.1038



5.
A plane-wave DFT calculation with PBE-GGA was carried out for NaSmTl6 after structural relaxation.

The structure in POSCAR format:
```
NaSmTl6
1.0
-0.9868 4.6948 0.5685
-0.4621 -0.6737 4.7614
9.4339 1.8405 1.1760
Na Sm Tl
1 1 6
direct
0.0000 0.0000 0.0000 Na
0.0000 0.0000 0.5000 Sm
0.5000 0.5000 0.0000 Tl
0.5000 0.5000 0.5000 Tl
0.5000 0.0000 0.2508 Tl
0.5000 0.0000 0.7492 Tl
0.0000 0.5000 0.2508 Tl
0.0000 0.5000 0.7492 Tl
```

Values from the calculation:
- volume (Å³ per cell) = 226.0
- ΔE_f (eV/atom) = -0.14
- energy above the lowest structure with this stoichiometry (eV/f.u.) = 0.02
- E (hartree per atom) = -0.0982



6.
A plane-wave DFT calculation with PBE-GGA was carried out for NaSm2Tl3 after structural relaxation.

The structure in POSCAR format:
```
NaSm2Tl3
1.0
5.4121 0.0000 0.0000
-2.7060 4.6870 0.0000
0.0000 0.0000 13.3363
Na Sm Tl
2 4 6
direct
0.3333 0.6667 0.6647 Na
0.6667 0.3333 0.3353 Na
0.0000 0.0000 0.5000 Sm
0.3333 0.6667 0.1742 Sm
0.6667 0.3333 0.8258 Sm
0.0000 0.0000 0.0000 Sm
0.3333 0.6667 0.4190 Tl
0.6667 0.3333 0.0858 Tl
0.0000 0.0000 0.7490 Tl
0.0000 0.0000 0.2510 Tl
0.3333 0.6667 0.9142 Tl
0.6667 0.3333 0.5810 Tl
```

Values from the calculation:
- volume (Å³ per cell) = 338.3
- ΔE_f (eV/atom) = -0.29
- energy above the lowest structure with this stoichiometry (eV/f.u.) = 0.00
- E (hartree per atom) = -0.1201



7.
A plane-wave DFT calculation with PBE-GGA was carried out for NaSm4Tl7 after structural relaxation.

The structure in POSCAR format:
```
NaSm4Tl7
1.0
5.5205 0.0000 0.0000
2.7602 9.7010 0.0063
2.7602 0.4126 6.9858
Na Sm Tl
1 4 7
direct
0.0000 0.0000 0.0000 Na
0.5837 0.2180 0.6146 Sm
0.4163 0.7820 0.3854 Sm
0.7203 0.6683 0.8911 Sm
0.2797 0.3317 0.1089 Sm
0.7761 0.8989 0.5490 Tl
0.2239 0.1011 0.4510 Tl
0.0805 0.6783 0.1607 Tl
0.9195 0.3217 0.8393 Tl
0.3694 0.5424 0.7188 Tl
0.5000 0.0000 0.0000 Tl
0.6306 0.4576 0.2812 Tl
```

Values from the calculation:
- volume (Å³ per cell) = 374.1
- ΔE_f (eV/atom) = -0.15
- E (hartree per atom) = -0.1179



8.
A plane-wave DFT calculation with PBE-GGA was carried out for Na4SmTl15 after structural relaxation.

The structure in POSCAR format:
```
Na4SmTl15
1.0
4.8252 0.0000 0.0000
0.0000 4.8252 0.0000
0.0000 0.0000 24.6650
Na Sm Tl
4 1 15
direct
0.0000 0.0000 0.1957 Na
0.0000 0.0000 0.3999 Na
0.0000 0.0000 0.6001 Na
0.0000 0.0000 0.8043 Na
0.0000 0.0000 0.0000 Sm
0.5000 0.5000 0.0000 Tl
0.5000 0.5000 0.1958 Tl
0.5000 0.5000 0.4000 Tl
0.5000 0.5000 0.6000 Tl
0.5000 0.5000 0.8042 Tl
0.5000 0.0000 0.0984 Tl
0.5000 0.0000 0.2993 Tl
0.5000 0.0000 0.5000 Tl
0.5000 0.0000 0.7007 Tl
0.5000 0.0000 0.9016 Tl
0.0000 0.5000 0.0984 Tl
0.0000 0.5000 0.2993 Tl
0.0000 0.5000 0.5000 Tl
0.0000 0.5000 0.7007 Tl
0.0000 0.5000 0.9016 Tl
```

Values from the calculation:
- volume (Å³ per cell) = 574.3
- ΔE_f (eV/atom) = -0.10
- E (hartree per atom) = -0.0872



9.
A plane-wave DFT calculation with PBE-GGA was carried out for NaSm2Tl9 after structural relaxation.

The structure in POSCAR format:
```
NaSm2Tl9
1.0
4.8145 0.0000 0.0000
0.0000 4.8145 0.0000
0.0000 0.0000 14.5108
Na Sm Tl
1 2 9
direct
0.0000 0.0000 0.0000 Na
0.0000 0.0000 0.3380 Sm
0.0000 0.0000 0.6620 Sm
0.5000 0.5000 0.0000 Tl
0.5000 0.5000 0.3337 Tl
0.5000 0.5000 0.6663 Tl
0.5000 0.0000 0.1674 Tl
0.5000 0.0000 0.5000 Tl
0.5000 0.0000 0.8326 Tl
0.0000 0.5000 0.1674 Tl
0.0000 0.5000 0.5000 Tl
0.0000 0.5000 0.8326 Tl
```

Values from the calculation:
- volume (Å³ per cell) = 336.4
- ΔE_f (eV/atom) = -0.19
- E (hartree per atom) = -0.1053



10.
A plane-wave DFT calculation with PBE-GGA was carried out for NaSmTl2 after structural relaxation.

The structure in POSCAR format:
```
NaSmTl2
1.0
-0.8713 -0.0607 3.5420
1.9429 -2.0355 2.3217
6.7917 7.4069 3.6763
Na Tl Sm
1 2 1
direct
0.0000 0.0000 0.0000 Na
0.7494 0.7494 0.7517 Tl
0.2506 0.2506 0.2483 Tl
0.5000 0.5000 0.5000 Sm
```

Values from the calculation:
- volume (Å³ per cell) = 120.9
- ΔE_f (eV/atom) = -0.10
- energy above the lowest structure with this stoichiometry (eV/f.u.) = 0.68
- E (hartree per atom) = -0.1027



11.
A plane-wave DFT calculation with PBE-GGA was carried out for NaSmTl after structural relaxation.

The structure in POSCAR format:
```
NaSmTl
1.0
-1.3197 -1.9344 5.0635
-3.6880 -0.3543 -4.1709
2.3719 -5.8149 -1.6033
Na Sm Tl
2 2 2
direct
0.0000 0.5000 0.0000 Na
0.0000 0.5000 0.5000 Na
0.3332 0.1668 0.7500 Sm
0.6668 0.8332 0.2500 Sm
0.6665 0.8335 0.7500 Tl
0.3335 0.1665 0.2500 Tl
```

Values from the calculation:
- volume (Å³ per cell) = 174.7
- ΔE_f (eV/atom) = -0.17
- energy above the lowest structure with this stoichiometry (eV/f.u.) = 0.00
- E (hartree per atom) = -0.1093



12.
A plane-wave DFT calculation with PBE-GGA was carried out for NaSmTl3 after structural relaxation.

The structure in POSCAR format:
```
NaSmTl3
1.0
-4.0530 -2.1188 -3.6482
1.8741 -5.9971 1.4010
-4.3067 3.8128 7.2927
Na Sm Tl
2 2 6
direct
0.4028 0.1534 0.3067 Na
0.5972 0.8466 0.6933 Na
0.1864 0.4362 0.8724 Sm
0.8136 0.5638 0.1276 Sm
0.7930 0.0428 0.0856 Tl
0.2070 0.9572 0.9144 Tl
0.3930 0.6421 0.2843 Tl
0.6070 0.3579 0.7157 Tl
0.0109 0.7599 0.5198 Tl
0.9891 0.2401 0.4802 Tl
```

Values from the calculation:
- volume (Å³ per cell) = 308.8
- ΔE_f (eV/atom) = -0.04
- E (hartree per atom) = -0.0981